[1]
Density functional theory data (PBE-GGA) for a relaxed Ho2Si2GeRh5 crystal.

Unit cell a=9.6736 b=9.6736 c=3.4790 alpha=90.00 beta=90.00 gamma=90.00
Space group P4/mbm (No. 127)
One atom of each set of equivalent atoms:
Ho 0.1752 0.3248 0.0000 [4 per cell]
Si 0.1234 0.6234 0.0000 [4 per cell]
Ge 0.0000 0.0000 0.0000 [2 per cell]
Rh 0.0000 0.5000 0.5000 [2 per cell]
Rh 0.0685 0.7889 0.5000 [8 per cell]

The calculation puts the total energy at -7.061 eV/atom. The uncorrected formation energy comes out at -0.923 eV per atom.

[2]
Density functional theory data (PBE-GGA) for a relaxed Tb6Pm2Nd3 crystal.

Unit cell a=4.7994 b=4.7994 c=33.3856 alpha=90.00 beta=90.00 gamma=90.00
Space group I4/mmm (No. 139)
One atom of each set of equivalent atoms:
Tb 0.0000 0.0000 0.1937 [4 per cell]
Tb 0.0000 0.5000 0.1205 [8 per cell]
Pm 0.0000 0.0000 0.0459 [4 per cell]
Nd 0.0000 0.0000 0.2970 [4 per cell]
Nd 0.0000 0.0000 0.5000 [2 per cell]

The energy relative to the elements comes out at 0.257 eV per atom. The calculation puts the total energy at -4.433 eV/atom. The calculation puts the energy above the most stable polymorph in this dataset at 74 kJ/mol of formula units.

[3]
Density functional theory data (PBE-GGA) for a relaxed ZrTaPd4 crystal.

Unit cell a=4.8322 b=4.8399 c=4.9391 alpha=89.47 beta=60.80 gamma=89.04
Space group P-1 (No. 2)
One atom of each set of equivalent atoms:
Zr 0.0000 0.0000 0.0000 [1 per cell]
Ta 0.5000 0.5000 0.0000 [1 per cell]
Pd 0.1643 0.5000 0.6718 [2 per cell]
Pd 0.3400 0.0000 0.3199 [2 per cell]

The energy relative to the elements comes out at -0.602 eV per atom. The calculation puts the total energy at -7.464 eV/atom.

[4]
Density functional theory data (PBE-GGA) for a relaxed LaP2Pt crystal.

Unit cell a=3.6574 b=3.6574 c=6.0642 alpha=90.00 beta=90.00 gamma=90.00
Space group P4mm (No. 99)
One atom of each set of equivalent atoms:
La 0.0000 0.0000 0.0000 [1 per cell]
P 0.0000 0.0000 0.5032 [1 per cell]
P 0.5000 0.5000 0.2067 [1 per cell]
Pt 0.5000 0.5000 0.5984 [1 per cell]

The energy relative to the elements comes out at -0.535 eV per atom. The calculation puts the total energy at -5.982 eV/atom. The calculation puts the energy above the most stable polymorph in this dataset at 182 kJ/mol of formula units.